[1]
Computed, not measured: a relaxed TlSb2Pb2 crystal at the GGA-PBE level of DFT.

Cell lengths 8.9253, 8.9253, 4.0305 Å; angles 90.00, 90.00, 90.00 degrees
Fractional positions:
Pb (0.3599, 0.8599, 0.0000)
Pb (0.8599, 0.6401, 0.0000)
Pb (0.6401, 0.1401, 0.0000)
Pb (0.1401, 0.3599, 0.0000)
Sb (0.1486, 0.6486, 0.5000)
Sb (0.6486, 0.8514, 0.5000)
Sb (0.8514, 0.3514, 0.5000)
Sb (0.3514, 0.1486, 0.5000)
Tl (0.0000, 0.0000, 0.0000)
Tl (0.5000, 0.5000, 0.0000)

Computed properties:
- E above lowest polymorph (meV per atom) = 75
- crystal system = tetragonal
- size of the total moment (μB/atom) = 0.00
- ΔE_f (raw) (kJ/mol of formula units) = 43



[2]
Computed, not measured: a relaxed Nd8Ag2Rh crystal at the GGA-PBE level of DFT.

Cell lengths 6.3214, 9.0868, 9.0868 Å; angles 129.61, 103.17, 103.17 degrees
Fractional positions:
Nd (0.6522, 0.3889, 0.1571)
Nd (0.6522, 0.1571, 0.3889)
Nd (0.1468, 0.2838, 0.2838)
Nd (0.9837, 0.1969, 0.8078)
Nd (0.9837, 0.8078, 0.1969)
Nd (0.7638, 0.7369, 0.7369)
Nd (0.2863, 0.8425, 0.6099)
Nd (0.2863, 0.6099, 0.8425)
Ag (0.4815, 0.7239, 0.2852)
Ag (0.4815, 0.2852, 0.7239)
Rh (0.2816, 0.0011, 0.0011)

Computed properties:
- E above lowest polymorph (meV per atom) = 38
- crystal system = monoclinic
- size of the total moment (μB/atom) = 0.00



[3]
Computed, not measured: a relaxed La3NdSi4 crystal at the GGA-PBE level of DFT.

Cell lengths 4.2204, 6.4922, 9.1339 Å; angles 110.81, 103.36, 90.00 degrees
Fractional positions:
La (0.0000, 0.5000, 0.0000)
La (0.1956, 0.1956, 0.3912)
La (0.8044, 0.8044, 0.6088)
Nd (0.5000, 0.0000, 0.0000)
Si (0.3703, 0.5509, 0.7406)
Si (0.6297, 0.4491, 0.2594)
Si (0.6297, 0.8103, 0.2594)
Si (0.3703, 0.1897, 0.7406)

Computed properties:
- crystal system = orthorhombic
- size of the total moment (μB/atom) = 0.00
- ΔE_f (raw) (kJ/mol of formula units) = -415



[4]
Computed, not measured: a relaxed Os2CN crystal at the GGA-PBE level of DFT.

Cell lengths 3.8308, 3.8308, 3.8308 Å; angles 60.00, 60.00, 60.00 degrees
Fractional positions:
C (0.0000, 0.0000, 0.0000)
Os (0.2500, 0.2500, 0.2500)
Os (0.7500, 0.7500, 0.7500)
N (0.5000, 0.5000, 0.5000)

Computed properties:
- E above lowest polymorph (meV per atom) = 840
- crystal system = cubic
- size of the total moment (μB/atom) = 0.00
- ΔE_f (raw) (kJ/mol of formula units) = 590



[5]
Computed, not measured: a relaxed KCuAs crystal at the GGA-PBE level of DFT.

Cell lengths 4.1579, 7.9563, 10.4421 Å; angles 90.00, 90.00, 90.00 degrees
Fractional positions:
K (0.7513, 0.7045, 0.7926)
K (0.7487, 0.2955, 0.2926)
K (0.2513, 0.7955, 0.2074)
K (0.2487, 0.2045, 0.7074)
Cu (0.7482, 0.6679, 0.4781)
Cu (0.7518, 0.3321, 0.9781)
Cu (0.2482, 0.8321, 0.5219)
Cu (0.2518, 0.1679, 0.0219)
As (0.7482, 0.9703, 0.5058)
As (0.7518, 0.0297, 0.0058)
As (0.2482, 0.5297, 0.4942)
As (0.2518, 0.4703, 0.9942)

Computed properties:
- E_tot (eV/cell) = -42.3
- crystal system = orthorhombic
- size of the total moment (μB/atom) = 0.00



[6]
Computed, not measured: a relaxed GdPuMgOs crystal at the GGA-PBE level of DFT.

Cell lengths 4.9995, 4.9995, 4.9995 Å; angles 60.00, 60.00, 60.00 degrees
Site moments in Bohr magnetons follow the coordinates.
Fractional positions:
Mg (0.0000, 0.0000, 0.0000)  -0.02
Gd (0.7500, 0.7500, 0.7500)  -7.10
Os (0.5000, 0.5000, 0.5000)  0.34
Pu (0.2500, 0.2500, 0.2500)  -5.23

Computed properties:
- E_tot (eV/cell) = -41.0
- crystal system = cubic
- size of the total moment (μB/atom) = 3.15



[7]
Computed, not measured: a relaxed Zr5TiIr6 crystal at the GGA-PBE level of DFT.

Cell lengths 4.6070, 6.6148, 8.2307 Å; angles 66.30, 69.11, 90.00 degrees
Fractional positions:
Ir (0.8175, 0.6063, 0.3110)
Ir (0.8176, 0.0826, 0.3110)
Ir (0.5000, 0.7659, 0.0000)
Ir (0.5000, 0.2341, 0.0000)
Ir (0.1824, 0.9174, 0.6890)
Ir (0.1825, 0.3937, 0.6890)
Zr (0.6924, 0.1710, 0.6579)
Zr (0.3198, 0.3343, 0.3314)
Zr (0.0000, 0.5000, 0.0000)
Zr (0.6802, 0.6657, 0.6686)
Zr (0.3076, 0.8290, 0.3421)
Ti (0.0000, 0.0000, 0.0000)

Computed properties:
- E_tot (eV/cell) = -113.1
- crystal system = monoclinic
- size of the total moment (μB/atom) = 0.00



[8]
Computed, not measured: a relaxed Dy2MgNi crystal at the GGA-PBE level of DFT.

Cell lengths 5.0472, 5.0472, 5.0472 Å; angles 60.00, 60.00, 60.00 degrees
Fractional positions:
Ni (0.5000, 0.5000, 0.5000)
Mg (0.0000, 0.0000, 0.0000)
Dy (0.2500, 0.2500, 0.2500)
Dy (0.7500, 0.7500, 0.7500)

Computed properties:
- E above lowest polymorph (meV per atom) = 134
- crystal system = cubic
- size of the total moment (μB/atom) = 0.00



Number 1: Fermi-level density of states 5.2 states/eV per cell. Number 2: Fermi-level density of states 12.1 states/eV per cell. Number 3: Fermi-level density of states 8.7 states/eV per cell. Number 4: Fermi-level density of states 1.8 states/eV per cell. Number 5: Fermi-level density of states 10.0 states/eV per cell. Number 6: Fermi-level density of states 8.4 states/eV per cell. Number 7: Fermi-level density of states 7.8 states/eV per cell. Number 8: Fermi-level density of states 2.9 states/eV per cell.